# Tb3ZnPd4

Tb3ZnPd4 after structural relaxation (PBE-GGA, Alexandria via LeMat-Bulk).

## Properties
- Size of the total moment: 0.000 μB/atom
- E_form: -0.692 eV per atom
- Uncorrected energy: -5.18 eV per atom

Cell and atoms, written as CIF:
```
data_Tb3ZnPd4
_chemical_formula_sum 'Tb3 Zn1 Pd4'
_cell_length_a 3.933
_cell_length_b 6.351
_cell_length_c 8.120
_cell_angle_alpha 113.02
_cell_angle_beta 104.02
_cell_angle_gamma 90.00
_symmetry_space_group_name_H-M 'P 1'
_symmetry_Int_Tables_number 1
loop_
_symmetry_equiv_pos_as_xyz
'x,y,z'
loop_
_atom_site_label
_atom_site_type_symbol
_atom_site_fract_x
_atom_site_fract_y
_atom_site_fract_z
Pd1 Pd 0.378 0.165 0.755
Pd2 Pd 0.378 0.590 0.755
Pd3 Pd 0.622 0.410 0.245
Pd4 Pd 0.622 0.835 0.245
Tb1 Tb 0.000 0.500 0.000
Tb2 Tb 0.807 0.807 0.614
Tb3 Tb 0.193 0.193 0.386
Zn1 Zn 0.500 0.000 0.000
```